[1]
VASP calculation (GGA-PBE) on an optimized crystal structure of PuMnRh.

Computed properties:
calculated density: 12.02 g/cm3
formation enthalpy at 0 K: 0.1017 eV per atom
final energy: -10.183 eV per atom
SG: No. 187

a = 3.166 Å, b = 4.500 Å, c = 4.500 Å
α = 120.00°, β = 90.00°, γ = 90.00°
Fractional coordinates of all 3 atoms:
Mn 0.167 0.667 0.333
Pu 0.667 0.333 0.667
Rh 0.166 0.000 0.000

---

[2]
VASP calculation (GGA-PBE) on an optimized crystal structure of Pu2MnRh3.

Computed properties:
calculated density: 13.31 g/cm3
formation enthalpy at 0 K: -0.2333 eV per atom
final energy: -10.215 eV per atom
SG: No. 74

a = 3.836 Å, b = 7.838 Å, c = 7.838 Å
α = 70.93°, β = 104.16°, γ = 104.16°
Fractional coordinates of all 12 atoms:
Pu 0.919 0.535 0.804
Pu 0.581 0.196 0.465
Pu 0.081 0.465 0.196
Pu 0.419 0.804 0.535
Rh 0.750 0.634 0.366
Rh 0.103 0.968 0.737
Rh 0.250 0.366 0.634
Rh 0.897 0.032 0.263
Rh 0.603 0.737 0.968
Rh 0.397 0.263 0.032
Mn 0.750 0.113 0.887
Mn 0.250 0.887 0.113

---

[3]
VASP calculation (GGA-PBE) on an optimized crystal structure of Pu6MnRh5.

Computed properties:
calculated density: 14.06 g/cm3
formation enthalpy at 0 K: -0.3405 eV per atom
final energy: -11.334 eV per atom
SG: No. 65

a = 4.826 Å, b = 6.885 Å, c = 7.620 Å
α = 90.00°, β = 71.54°, γ = 90.00°
Fractional coordinates of all 12 atoms:
Mn 0.000 0.000 0.000
Pu 0.831 0.751 0.338
Pu 0.831 0.249 0.338
Pu 0.500 0.743 0.000
Pu 0.169 0.751 0.662
Pu 0.169 0.249 0.662
Pu 0.500 0.257 0.000
Rh 0.344 0.000 0.312
Rh 0.656 0.000 0.688
Rh 0.668 0.500 0.664
Rh 0.332 0.500 0.336
Rh 0.000 0.500 0.000